The following is a PBE with a Hubbard U calculation of Ba3FeBi2O8 after structural relaxation, from Alexandria.

Lattice parameters (Å, degrees): 6.055 6.055 8.015 90.00 90.00 120.00
Atoms (fractional coordinates):
1 Ba 0.333 0.667 0.627
2 Ba 0.667 0.333 0.373
3 Ba 0.000 0.000 0.000
4 Fe 0.000 0.000 0.500
5 Bi 0.333 0.667 0.204
6 Bi 0.667 0.333 0.796
7 O 0.333 0.667 0.935
8 O 0.667 0.333 0.065
9 O 0.155 0.845 0.344
10 O 0.845 0.155 0.656
11 O 0.155 0.309 0.344
12 O 0.845 0.691 0.656
13 O 0.691 0.845 0.344
14 O 0.309 0.155 0.656

Summary:
* space group: No. 164

The following is a PBE with a Hubbard U calculation of MnPtIO2 after structural relaxation, from Alexandria.

Lattice parameters (Å, degrees): 3.773 3.773 7.174 90.00 90.00 90.00
Atoms (fractional coordinates):
1 I 0.000 0.000 0.500
2 Mn 0.000 0.000 0.000
3 O 0.000 0.500 0.000
4 O 0.500 0.000 0.000
5 Pt 0.500 0.500 0.500

Summary:
* energy above the most stable polymorph in this dataset: 0 meV/atom
* space group: No. 123

Values for E, eV per atom, ordered as above
-5.9200; -5.2046